Entry 1:
## Ba2IrBrO3 (PBE-GGA)

Data for a geometry-optimized Ba2IrBrO3 structure.

a b c (Å): 4.1579 4.1579 15.4367
angles (deg): 90.00 90.00 90.00
Positions (direct):
Ba (0.2500, 0.2500, 0.0952)
Ba (0.2500, 0.2500, 0.3389)
Ba (0.7500, 0.7500, 0.6611)
Ba (0.7500, 0.7500, 0.9048)
Ir (0.2500, 0.2500, 0.7952)
Ir (0.7500, 0.7500, 0.2048)
Br (0.2500, 0.2500, 0.5746)
Br (0.7500, 0.7500, 0.4254)
O (0.2500, 0.2500, 0.9261)
O (0.2500, 0.7500, 0.2267)
O (0.2500, 0.7500, 0.7733)
O (0.7500, 0.2500, 0.2267)
O (0.7500, 0.2500, 0.7733)
O (0.7500, 0.7500, 0.0739)

Its symmetry is P4/nmm (129).


Entry 2:
## Ba5Re3BrO15 (PBE-GGA)

Data for a geometry-optimized Ba5Re3BrO15 structure.

a b c (Å): 10.9564 10.9564 7.7938
angles (deg): 90.00 90.00 120.00
Positions (direct):
Ba (0.0000, 0.2635, 0.0000)
Ba (0.0000, 0.7365, 0.5000)
Ba (0.2635, 0.0000, 0.0000)
Ba (0.2635, 0.2635, 0.5000)
Ba (0.3333, 0.6667, 0.2629)
Ba (0.3333, 0.6667, 0.7629)
Ba (0.6667, 0.3333, 0.2629)
Ba (0.6667, 0.3333, 0.7629)
Ba (0.7365, 0.0000, 0.5000)
Ba (0.7365, 0.7365, 0.0000)
Re (0.0000, 0.3920, 0.5553)
Re (0.0000, 0.6080, 0.0553)
Re (0.3920, 0.0000, 0.5553)
Re (0.3920, 0.3920, 0.0553)
Re (0.6080, 0.0000, 0.0553)
Re (0.6080, 0.6080, 0.5553)
Br (0.0000, 0.0000, 0.2288)
Br (0.0000, 0.0000, 0.7288)
O (0.0000, 0.2965, 0.3735)
O (0.0000, 0.7035, 0.8735)
O (0.1321, 0.5512, 0.0168)
O (0.1321, 0.5808, 0.5168)
O (0.1335, 0.3891, 0.6971)
O (0.1335, 0.7443, 0.1971)
O (0.2557, 0.3891, 0.1971)
O (0.2557, 0.8665, 0.6971)
O (0.2965, 0.0000, 0.3735)
O (0.2965, 0.2965, 0.8735)
O (0.3891, 0.1335, 0.6971)
O (0.3891, 0.2557, 0.1971)
O (0.4192, 0.5512, 0.5168)
O (0.4192, 0.8679, 0.0168)
O (0.4488, 0.5808, 0.0168)
O (0.4488, 0.8679, 0.5168)
O (0.5512, 0.1321, 0.0168)
O (0.5512, 0.4192, 0.5168)
O (0.5808, 0.1321, 0.5168)
O (0.5808, 0.4488, 0.0168)
O (0.6109, 0.7443, 0.6971)
O (0.6109, 0.8665, 0.1971)
O (0.7035, 0.0000, 0.8735)
O (0.7035, 0.7035, 0.3735)
O (0.7443, 0.1335, 0.1971)
O (0.7443, 0.6109, 0.6971)
O (0.8665, 0.2557, 0.6971)
O (0.8665, 0.6109, 0.1971)
O (0.8679, 0.4192, 0.0168)
O (0.8679, 0.4488, 0.5168)

Its symmetry is P6_3cm (185).


Entry 3:
## BaReBrO4 (PBE-GGA)

Data for a geometry-optimized BaReBrO4 structure.

a b c (Å): 20.0336 5.8480 4.6155
angles (deg): 90.00 90.00 90.00
Positions (direct):
Ba (0.0962, 0.2500, 0.2464)
Ba (0.4038, 0.7500, 0.7464)
Ba (0.5962, 0.2500, 0.2536)
Ba (0.9038, 0.7500, 0.7536)
Re (0.1850, 0.7500, 0.6538)
Re (0.3150, 0.2500, 0.1538)
Re (0.6850, 0.7500, 0.8462)
Re (0.8150, 0.2500, 0.3462)
Br (0.0204, 0.7500, 0.2526)
Br (0.4796, 0.2500, 0.7526)
Br (0.5204, 0.7500, 0.2474)
Br (0.9796, 0.2500, 0.7474)
O (0.1429, 0.0005, 0.7615)
O (0.1429, 0.4995, 0.7615)
O (0.1851, 0.7500, 0.2766)
O (0.2319, 0.2500, 0.2709)
O (0.2681, 0.7500, 0.7709)
O (0.3149, 0.2500, 0.7766)
O (0.3571, 0.5005, 0.2615)
O (0.3571, 0.9995, 0.2615)
O (0.6429, 0.0005, 0.7385)
O (0.6429, 0.4995, 0.7385)
O (0.6851, 0.7500, 0.2234)
O (0.7319, 0.2500, 0.2291)
O (0.7681, 0.7500, 0.7291)
O (0.8149, 0.2500, 0.7234)
O (0.8571, 0.5005, 0.2385)
O (0.8571, 0.9995, 0.2385)

Its symmetry is Pnma (62).


Entry 4:
## Ba2ZrBrO3 (PBE-GGA)

Data for a geometry-optimized Ba2ZrBrO3 structure.

a b c (Å): 4.2524 4.2524 15.7776
angles (deg): 90.00 90.00 90.00
Positions (direct):
Ba (0.2500, 0.2500, 0.0812)
Ba (0.2500, 0.2500, 0.3435)
Ba (0.7500, 0.7500, 0.6565)
Ba (0.7500, 0.7500, 0.9188)
Zr (0.2500, 0.2500, 0.7888)
Zr (0.7500, 0.7500, 0.2112)
Br (0.2500, 0.2500, 0.5750)
Br (0.7500, 0.7500, 0.4250)
O (0.2500, 0.2500, 0.9135)
O (0.2500, 0.7500, 0.2377)
O (0.2500, 0.7500, 0.7623)
O (0.7500, 0.2500, 0.2377)
O (0.7500, 0.2500, 0.7623)
O (0.7500, 0.7500, 0.0865)

Its symmetry is P4/nmm (129).


Entry 5:
## Ba3CoC3N3 (PBE-GGA)

Data for a geometry-optimized Ba3CoC3N3 structure.

a b c (Å): 9.0615 9.0615 5.7752
angles (deg): 90.00 90.00 120.00
Positions (direct):
Ba (0.0693, 0.3783, 0.2500)
Ba (0.3090, 0.9307, 0.2500)
Ba (0.3783, 0.3090, 0.7500)
Ba (0.6217, 0.6910, 0.2500)
Ba (0.6910, 0.0693, 0.7500)
Ba (0.9307, 0.6217, 0.7500)
Co (0.3333, 0.6667, 0.7500)
Co (0.6667, 0.3333, 0.2500)
C (0.1546, 0.4587, 0.7500)
C (0.3041, 0.8454, 0.7500)
C (0.4587, 0.3041, 0.2500)
C (0.5413, 0.6959, 0.7500)
C (0.6959, 0.1546, 0.2500)
C (0.8454, 0.5413, 0.2500)
N (0.0300, 0.3114, 0.7500)
N (0.2814, 0.9700, 0.7500)
N (0.3114, 0.2814, 0.2500)
N (0.6886, 0.7186, 0.7500)
N (0.7186, 0.0300, 0.2500)
N (0.9700, 0.6886, 0.2500)

Its symmetry is P6_3/m (176).


Entry 6:
## Ba3Y2Cu2PtC10 (PBE-GGA)

Data for a geometry-optimized Ba3Y2Cu2PtC10 structure.

a b c (Å): 7.7379 7.7379 8.6867
angles (deg): 108.07 108.07 41.90
Positions (direct):
Ba (0.0000, 0.0000, 0.0000)
Ba (0.1442, 0.1442, 0.4912)
Ba (0.8558, 0.8558, 0.5088)
Y (0.3047, 0.3047, 0.1782)
Y (0.6953, 0.6953, 0.8218)
Cu (0.3598, 0.3598, 0.6993)
Cu (0.6402, 0.6402, 0.3007)
Pt (0.5000, 0.5000, 0.5000)
C (0.1735, 0.4070, 0.8666)
C (0.3424, 0.3424, 0.4623)
C (0.3672, 0.6041, 0.2393)
C (0.3959, 0.6328, 0.7607)
C (0.4070, 0.1735, 0.8666)
C (0.5930, 0.8265, 0.1334)
C (0.6041, 0.3672, 0.2393)
C (0.6328, 0.3959, 0.7607)
C (0.6576, 0.6576, 0.5377)
C (0.8265, 0.5930, 0.1334)

Its symmetry is C2/m (12).


Entry 7:
## BaSmC2O6F (PBE-GGA)

Data for a geometry-optimized BaSmC2O6F structure.

a b c (Å): 12.7741 12.7741 12.7741
angles (deg): 22.55 22.55 22.55
Positions (direct):
Ba (0.0000, 0.0000, 0.0000)
Ba (0.5000, 0.5000, 0.5000)
Sm (0.2448, 0.2448, 0.2448)
Sm (0.7552, 0.7552, 0.7552)
C (0.1067, 0.1067, 0.1067)
C (0.3740, 0.3740, 0.3740)
C (0.6260, 0.6260, 0.6260)
C (0.8933, 0.8933, 0.8933)
O (0.0745, 0.5224, 0.5224)
O (0.1924, 0.7453, 0.7453)
O (0.2547, 0.2547, 0.8076)
O (0.2547, 0.8076, 0.2547)
O (0.4776, 0.4776, 0.9255)
O (0.4776, 0.9255, 0.4776)
O (0.5224, 0.0745, 0.5224)
O (0.5224, 0.5224, 0.0745)
O (0.7453, 0.1924, 0.7453)
O (0.7453, 0.7453, 0.1924)
O (0.8076, 0.2547, 0.2547)
O (0.9255, 0.4776, 0.4776)
F (0.1840, 0.1840, 0.1840)
F (0.8160, 0.8160, 0.8160)

Its symmetry is R-3m (166).


Entry 8:
## BaFeC3 (PBE-GGA)

Data for a geometry-optimized BaFeC3 structure.

a b c (Å): 6.3804 6.3804 5.8165
angles (deg): 90.00 90.00 137.10
Positions (direct):
Ba (0.1264, 0.8736, 0.7500)
Ba (0.8736, 0.1264, 0.2500)
Fe (0.4175, 0.5825, 0.7500)
Fe (0.5825, 0.4175, 0.2500)
C (0.0118, 0.7126, 0.2500)
C (0.2874, 0.9882, 0.2500)
C (0.5000, 0.5000, 0.0000)
C (0.5000, 0.5000, 0.5000)
C (0.7126, 0.0118, 0.7500)
C (0.9882, 0.2874, 0.7500)

Its symmetry is Cmcm (63).


Entry 9:
## BaGdFe2Si2C (PBE-GGA)

Data for a geometry-optimized BaGdFe2Si2C structure.

a b c (Å): 5.8646 5.8646 7.3332
angles (deg): 124.08 124.08 40.12
Positions (direct):
Ba (0.0000, 0.0000, 0.0000)
Gd (0.8920, 0.8920, 0.4085)
Fe (0.2441, 0.2441, 0.5887)
Fe (0.6183, 0.6183, 0.7415)
Si (0.2348, 0.2348, 0.8965)
Si (0.6296, 0.6296, 0.4454)
C (0.4289, 0.4289, 0.6554)

Its symmetry is Cm (8).


Entry 10:
## BaH8PtC4N4O4 (PBE-GGA)

Data for a geometry-optimized BaH8PtC4N4O4 structure.

a b c (Å): 9.1406 9.1406 6.2986
angles (deg): 101.64 101.64 96.84
Positions (direct):
Ba (0.1298, 0.8702, 0.7500)
Ba (0.8702, 0.1298, 0.2500)
H (0.0111, 0.2163, 0.8330)
H (0.0319, 0.4233, 0.7085)
H (0.1235, 0.2220, 0.0573)
H (0.1242, 0.6215, 0.2456)
H (0.2163, 0.0111, 0.3330)
H (0.2220, 0.1235, 0.5573)
H (0.3785, 0.8758, 0.2544)
H (0.4233, 0.0319, 0.2085)
H (0.5767, 0.9681, 0.7915)
H (0.6215, 0.1242, 0.7456)
H (0.7780, 0.8765, 0.4427)
H (0.7837, 0.9889, 0.6670)
H (0.8758, 0.3785, 0.7544)
H (0.8765, 0.7780, 0.9427)
H (0.9681, 0.5767, 0.2915)
H (0.9889, 0.7837, 0.1670)
Pt (0.5000, 0.5000, 0.0000)
Pt (0.5000, 0.5000, 0.5000)
C (0.2834, 0.4076, 0.4090)
C (0.2976, 0.5592, 0.9478)
C (0.4076, 0.2834, 0.9090)
C (0.4408, 0.7024, 0.5522)
C (0.5592, 0.2976, 0.4478)
C (0.5924, 0.7166, 0.0910)
C (0.7024, 0.4408, 0.0522)
C (0.7166, 0.5924, 0.5910)
N (0.1546, 0.3533, 0.3547)
N (0.1776, 0.5964, 0.9141)
N (0.3533, 0.1546, 0.8547)
N (0.4036, 0.8224, 0.5859)
N (0.5964, 0.1776, 0.4141)
N (0.6467, 0.8454, 0.1453)
N (0.8224, 0.4036, 0.0859)
N (0.8454, 0.6467, 0.6453)
O (0.0473, 0.1508, 0.9357)
O (0.0517, 0.6633, 0.3264)
O (0.1508, 0.0473, 0.4357)
O (0.3367, 0.9483, 0.1736)
O (0.6633, 0.0517, 0.8264)
O (0.8492, 0.9527, 0.5643)
O (0.9483, 0.3367, 0.6736)
O (0.9527, 0.8492, 0.0643)

Its symmetry is C2/c (15).


Entry 11:
## Ba3NiC3N3 (PBE-GGA)

Data for a geometry-optimized Ba3NiC3N3 structure.

a b c (Å): 9.2004 9.2004 5.7843
angles (deg): 90.00 90.00 120.00
Positions (direct):
Ba (0.0564, 0.6992, 0.2500)
Ba (0.3008, 0.3572, 0.2500)
Ba (0.3572, 0.0564, 0.7500)
Ba (0.6428, 0.9436, 0.2500)
Ba (0.6992, 0.6428, 0.7500)
Ba (0.9436, 0.3008, 0.7500)
Ni (0.3333, 0.6667, 0.7500)
Ni (0.6667, 0.3333, 0.2500)
C (0.1484, 0.6860, 0.7500)
C (0.3140, 0.4623, 0.7500)
C (0.4623, 0.1484, 0.2500)
C (0.5377, 0.8516, 0.7500)
C (0.6860, 0.5377, 0.2500)
C (0.8516, 0.3140, 0.2500)
N (0.0216, 0.6995, 0.7500)
N (0.3005, 0.3221, 0.7500)
N (0.3221, 0.0216, 0.2500)
N (0.6779, 0.9784, 0.7500)
N (0.6995, 0.6779, 0.2500)
N (0.9784, 0.3005, 0.2500)

Its symmetry is P6_3/m (176).


Entry 12:
## Rb2BaPt2C8N8 (PBE-GGA)

Data for a geometry-optimized Rb2BaPt2C8N8 structure.

a b c (Å): 7.7916 7.7916 6.8524
angles (deg): 90.00 90.00 90.00
Positions (direct):
Rb (0.0000, 0.5000, 0.0000)
Rb (0.5000, 0.0000, 0.0000)
Ba (0.0000, 0.0000, 0.5000)
Pt (0.5000, 0.5000, 0.2570)
Pt (0.5000, 0.5000, 0.7430)
C (0.3200, 0.3200, 0.2597)
C (0.3200, 0.3200, 0.7403)
C (0.3200, 0.6800, 0.2597)
C (0.3200, 0.6800, 0.7403)
C (0.6800, 0.3200, 0.2597)
C (0.6800, 0.3200, 0.7403)
C (0.6800, 0.6800, 0.2597)
C (0.6800, 0.6800, 0.7403)
N (0.2134, 0.2134, 0.2622)
N (0.2134, 0.2134, 0.7378)
N (0.2134, 0.7866, 0.2622)
N (0.2134, 0.7866, 0.7378)
N (0.7866, 0.2134, 0.2622)
N (0.7866, 0.2134, 0.7378)
N (0.7866, 0.7866, 0.2622)
N (0.7866, 0.7866, 0.7378)

Its symmetry is P4/mmm (123).


Entry 13:
## BaZn3C (PBE-GGA)

Data for a geometry-optimized BaZn3C structure.

a b c (Å): 4.6511 4.6511 4.6511
angles (deg): 90.00 90.00 90.00
Positions (direct):
Ba (0.0000, 0.0000, 0.0000)
Zn (0.0000, 0.5000, 0.5000)
Zn (0.5000, 0.0000, 0.5000)
Zn (0.5000, 0.5000, 0.0000)
C (0.5000, 0.5000, 0.5000)

Its symmetry is Pm-3m (221).


Entry 14:
## Ba3Cd (PBE-GGA)

Data for a geometry-optimized Ba3Cd structure.

a b c (Å): 7.9470 7.9470 11.1106
angles (deg): 90.00 90.00 146.18
Positions (direct):
Ba (0.0542, 0.9458, 0.7500)
Ba (0.3590, 0.6410, 0.5545)
Ba (0.3590, 0.6410, 0.9455)
Ba (0.6410, 0.3590, 0.0545)
Ba (0.6410, 0.3590, 0.4455)
Ba (0.9458, 0.0542, 0.2500)
Cd (0.2523, 0.7477, 0.2500)
Cd (0.7477, 0.2523, 0.7500)

Its symmetry is Cmcm (63).


Entry 15:
## Ba2Cd17 (PBE-GGA)

Data for a geometry-optimized Ba2Cd17 structure.

a b c (Å): 7.8265 7.8265 7.8265
angles (deg): 82.78 82.78 82.78
Positions (direct):
Ba (0.1632, 0.1632, 0.1632)
Ba (0.8368, 0.8368, 0.8368)
Cd (0.0000, 0.5000, 0.5000)
Cd (0.1464, 0.1464, 0.6596)
Cd (0.1464, 0.6596, 0.1464)
Cd (0.2050, 0.5000, 0.7950)
Cd (0.2050, 0.7950, 0.5000)
Cd (0.3404, 0.8536, 0.8536)
Cd (0.4009, 0.4009, 0.4009)
Cd (0.5000, 0.0000, 0.5000)
Cd (0.5000, 0.2050, 0.7950)
Cd (0.5000, 0.5000, 0.0000)
Cd (0.5000, 0.7950, 0.2050)
Cd (0.5991, 0.5991, 0.5991)
Cd (0.6596, 0.1464, 0.1464)
Cd (0.7950, 0.2050, 0.5000)
Cd (0.7950, 0.5000, 0.2050)
Cd (0.8536, 0.3404, 0.8536)
Cd (0.8536, 0.8536, 0.3404)

Its symmetry is R-3m (166).


Entry 16:
## Ba4Cd (PBE-GGA)

Data for a geometry-optimized Ba4Cd structure.

a b c (Å): 7.8931 8.1372 8.4335
angles (deg): 90.00 101.77 90.00
Positions (direct):
Ba (0.1701, 0.1711, 0.1962)
Ba (0.1701, 0.3289, 0.6962)
Ba (0.3064, 0.6509, 0.1116)
Ba (0.3064, 0.8491, 0.6116)
Ba (0.6936, 0.1509, 0.3884)
Ba (0.6936, 0.3491, 0.8884)
Ba (0.8299, 0.6711, 0.3038)
Ba (0.8299, 0.8289, 0.8038)
Cd (0.5000, 0.0000, 0.0000)
Cd (0.5000, 0.5000, 0.5000)

Its symmetry is P2_1/c (14).


Number 1: total DFT energy (no corrections) -5.880 eV per atom. Number 2: total DFT energy (no corrections) -7.407 eV per atom. Number 3: total DFT energy (no corrections) -7.153 eV per atom. Number 4: total DFT energy (no corrections) -6.759 eV per atom. Number 5: total DFT energy (no corrections) -7.138 eV per atom. Number 6: total DFT energy (no corrections) -6.522 eV per atom. Number 7: total DFT energy (no corrections) -7.630 eV per atom. Number 8: total DFT energy (no corrections) -7.381 eV per atom. Number 9: total DFT energy (no corrections) -6.530 eV per atom. Number 10: total DFT energy (no corrections) -6.318 eV per atom. Number 11: total DFT energy (no corrections) -6.903 eV per atom. Number 12: total DFT energy (no corrections) -7.644 eV per atom. Number 13: total DFT energy (no corrections) -2.310 eV per atom. Number 14: total DFT energy (no corrections) -1.804 eV per atom. Number 15: total DFT energy (no corrections) -1.205 eV per atom. Number 16: total DFT energy (no corrections) -1.790 eV per atom.